1.
Crystalline HgSbO2 at its relaxed geometry, computed with PBE.

Results
For the density of states at the Fermi level, the calculation gives 1.3 states/eV/cell. The energy above the lowest structure with this stoichiometry is 0.426 eV/atom. The mass density is 8.6 g/cm3. Its symmetry is R-3m, No. 166. For the uncorrected formation energy, the calculation gives -0.348 eV/atom. The calculation puts the energy at -3.933 eV/atom.

a b c (Å): 7.038 7.038 7.038
angles (deg): 28.08 28.08 28.08
Element x y z (fractional)
Sb 0.000 0.000 0.000
O 0.899 0.899 0.899
O 0.101 0.101 0.101
Hg 0.500 0.500 0.500


2.
Crystalline SrSnP3 at its relaxed geometry, computed with PBE.

Results
For the density of states at the Fermi level, the calculation gives 4.2 states/eV/cell. The energy above the lowest structure with this stoichiometry is 0.856 eV/atom. The mass density is 3.2 g/cm3. Its symmetry is Pm-3m, No. 221. The calculation puts the energy at -3.255 eV/atom.

a b c (Å): 5.376 5.376 5.376
angles (deg): 90.00 90.00 90.00
Element x y z (fractional)
Sn 0.500 0.500 0.500
Sr 0.000 0.000 0.000
P 0.000 0.000 0.500
P 0.000 0.500 0.000
P 0.500 0.000 0.000


3.
Crystalline LaHo3H8 at its relaxed geometry, computed with PBE.

Results
For the density of states at the Fermi level, the calculation gives 2.1 states/eV/cell. The mass density is 7.3 g/cm3. Its symmetry is Pm-3m, No. 221. The calculation puts the energy at -4.482 eV/atom.

a b c (Å): 5.264 5.264 5.264
angles (deg): 90.00 90.00 90.00
Element x y z (fractional)
H 0.262 0.738 0.738
H 0.738 0.738 0.738
H 0.262 0.262 0.262
H 0.262 0.262 0.738
H 0.738 0.262 0.262
H 0.738 0.262 0.738
H 0.262 0.738 0.262
H 0.738 0.738 0.262
Ho 0.000 0.500 0.500
Ho 0.500 0.000 0.500
Ho 0.500 0.500 0.000
La 0.000 0.000 0.000


4.
Crystalline ReTe2Mo at its relaxed geometry, computed with PBE.

Results
For the density of states at the Fermi level, the calculation gives 6.4 states/eV/cell. The energy above the lowest structure with this stoichiometry is 0.963 eV/atom. The mass density is 11.3 g/cm3. Its symmetry is F-43m, No. 216. For the uncorrected formation energy, the calculation gives 1.169 eV/atom. The calculation puts the energy at -6.222 eV/atom.

a b c (Å): 4.816 4.816 4.816
angles (deg): 60.00 60.00 60.00
Element x y z (fractional)
Re 0.750 0.750 0.750
Te 0.000 0.000 0.000
Te 0.250 0.250 0.250
Mo 0.500 0.500 0.500


5.
Crystalline H7Pt4I at its relaxed geometry, computed with PBE.

Results
For the density of states at the Fermi level, the calculation gives 3.3 states/eV/cell. The mass density is 10.8 g/cm3. Its symmetry is Pmn2_1, No. 31. The calculation puts the energy at -4.004 eV/atom.

a b c (Å): 5.669 5.113 9.666
angles (deg): 90.00 90.00 90.00
Element x y z (fractional)
H 0.358 0.382 0.385
H 0.562 0.394 0.154
H 0.856 0.072 0.749
H 0.062 0.606 0.654
H 0.358 0.382 0.615
H 0.858 0.618 0.115
H 0.065 0.241 0.500
H 0.565 0.759 0.000
H 0.858 0.618 0.885
H 0.356 0.928 0.751
H 0.062 0.606 0.346
H 0.856 0.072 0.251
H 0.356 0.928 0.249
H 0.562 0.394 0.846
Pt 0.598 0.724 0.179
Pt 0.605 0.227 0.691
Pt 0.105 0.773 0.191
Pt 0.098 0.276 0.321
Pt 0.098 0.276 0.679
Pt 0.598 0.724 0.821
Pt 0.105 0.773 0.809
Pt 0.605 0.227 0.309
I 0.631 0.836 0.500
I 0.131 0.164 0.000


6.
Crystalline TbSm2YHo at its relaxed geometry, computed with PBE.

Results
For the density of states at the Fermi level, the calculation gives 14.7 states/eV/cell. The mass density is 6.8 g/cm3. Its symmetry is Cmcm, No. 63. The calculation puts the energy at -4.617 eV/atom.

a b c (Å): 7.222 8.366 7.143
angles (deg): 125.85 90.00 90.00
Element x y z (fractional)
Sm 0.500 0.693 0.000
Sm 0.000 0.307 0.000
Sm 0.500 0.307 0.000
Sm 0.000 0.693 0.000
Ho 0.750 0.021 0.043
Ho 0.250 0.979 0.957
Tb 0.250 0.714 0.429
Tb 0.750 0.286 0.571
Y 0.250 0.260 0.520
Y 0.750 0.740 0.480


7.
Crystalline Rb3MnB at its relaxed geometry, computed with PBE.

Results
For the density of states at the Fermi level, the calculation gives 11.2 states/eV/cell. The energy above the lowest structure with this stoichiometry is 0.000 eV/atom. The mass density is 2.1 g/cm3. Its symmetry is Pm-3m, No. 221. The calculation puts the energy at -2.445 eV/atom.

a b c (Å): 6.351 6.351 6.351
angles (deg): 90.00 90.00 90.00
Element x y z (fractional)
B 0.000 0.000 0.000
Rb 0.500 0.000 0.000
Rb 0.000 0.500 0.000
Rb 0.000 0.000 0.500
Mn 0.500 0.500 0.500


8.
Crystalline LiCeNb2N4 at its relaxed geometry, computed with PBE.

Results
For the density of states at the Fermi level, the calculation gives 3.6 states/eV/cell. The mass density is 6.9 g/cm3. Its symmetry is I4/mmm, No. 139. For the uncorrected formation energy, the calculation gives -0.932 eV/atom. The calculation puts the energy at -8.593 eV/atom.

a b c (Å): 4.531 4.531 5.567
angles (deg): 114.01 114.01 90.00
Element x y z (fractional)
N 0.437 0.937 0.000
N 0.677 0.677 0.479
N 0.197 0.197 0.521
N 0.937 0.437 0.000
Nb 0.687 0.187 0.500
Nb 0.187 0.687 0.500
Ce 0.937 0.937 0.000
Li 0.437 0.437 0.000


9.
Crystalline YAsCl at its relaxed geometry, computed with PBE.

Results
For the density of states at the Fermi level, the calculation gives 4.1 states/eV/cell. The energy above the lowest structure with this stoichiometry is 0.143 eV/atom. The mass density is 4.2 g/cm3. Its symmetry is F-43m, No. 216. For the uncorrected formation energy, the calculation gives -1.017 eV/atom. The calculation puts the energy at -5.337 eV/atom.

a b c (Å): 4.817 4.817 4.817
angles (deg): 60.00 60.00 60.00
Element x y z (fractional)
Y 0.750 0.750 0.750
As 0.000 0.000 0.000
Cl 0.500 0.500 0.500


10.
Crystalline Sc3NbN at its relaxed geometry, computed with PBE.

Results
For the density of states at the Fermi level, the calculation gives 5.7 states/eV/cell. The energy above the lowest structure with this stoichiometry is 0.000 eV/atom. The mass density is 4.5 g/cm3. Its symmetry is Pm-3m, No. 221. For the uncorrected formation energy, the calculation gives -0.534 eV/atom. The calculation puts the energy at -8.012 eV/atom.

a b c (Å): 4.466 4.466 4.466
angles (deg): 90.00 90.00 90.00
Element x y z (fractional)
Nb 0.500 0.500 0.500
Sc 0.000 0.500 0.000
Sc 0.500 0.000 0.000
Sc 0.000 0.000 0.500
N 0.000 0.000 0.000


11.
Crystalline MnAlN3 at its relaxed geometry, computed with PBE.

Results
For the density of states at the Fermi level, the calculation gives 3.4 states/eV/cell. The mass density is 4.2 g/cm3. Its symmetry is Pm-3m, No. 221. For the uncorrected formation energy, the calculation gives 0.853 eV/atom. The calculation puts the energy at -6.725 eV/atom.

a b c (Å): 3.662 3.662 3.662
angles (deg): 90.00 90.00 90.00
Element x y z (fractional)
N 0.000 0.500 0.000
N 0.000 0.000 0.500
N 0.500 0.000 0.000
Mn 0.000 0.000 0.000
Al 0.500 0.500 0.500


12.
Crystalline Li5Nd3Br12 at its relaxed geometry, computed with PBE.

Results
For the density of states at the Fermi level, the calculation gives 28.4 states/eV/cell. The mass density is 4.4 g/cm3. Its symmetry is Ia-3d, No. 230. For the uncorrected formation energy, the calculation gives -1.570 eV/atom. The calculation puts the energy at -3.767 eV/atom.

a b c (Å): 14.140 14.140 14.140
angles (deg): 109.47 109.47 109.47
Element x y z (fractional)
Li 0.125 0.375 0.250
Li 0.875 0.625 0.750
Li 0.750 0.125 0.875
Li 0.500 0.000 0.000
Li 0.000 0.000 0.000
Li 0.375 0.125 0.750
Li 0.625 0.750 0.875
Li 0.000 0.500 0.500
Li 0.500 0.000 0.500
Li 0.250 0.875 0.125
Li 0.000 0.500 0.000
Li 0.750 0.625 0.375
Li 0.500 0.500 0.000
Li 0.250 0.375 0.625
Li 0.000 0.000 0.500
Li 0.625 0.875 0.250
Li 0.875 0.250 0.625
Li 0.125 0.750 0.375
Li 0.500 0.500 0.500
Li 0.375 0.250 0.125
Br 0.877 0.591 0.910
Br 0.967 0.590 0.181
Br 0.877 0.286 0.467
Br 0.533 0.214 0.123
Br 0.590 0.623 0.409
Br 0.091 0.181 0.214
Br 0.090 0.909 0.123
Br 0.319 0.786 0.409
Br 0.533 0.319 0.910
Br 0.786 0.467 0.377
Br 0.286 0.409 0.819
Br 0.033 0.623 0.714
Br 0.910 0.091 0.877
Br 0.819 0.909 0.286
Br 0.590 0.967 0.681
Br 0.090 0.181 0.467
Br 0.967 0.377 0.286
Br 0.681 0.214 0.591
Br 0.467 0.681 0.090
Br 0.714 0.591 0.181
Br 0.909 0.090 0.623
Br 0.123 0.714 0.533
Br 0.819 0.910 0.033
Br 0.214 0.681 0.091
Br 0.910 0.819 0.533
Br 0.214 0.533 0.623
Br 0.409 0.123 0.590
Br 0.410 0.033 0.319
Br 0.033 0.410 0.819
Br 0.909 0.819 0.786
Br 0.123 0.409 0.090
Br 0.467 0.786 0.877
Br 0.181 0.091 0.714
Br 0.286 0.877 0.967
Br 0.786 0.319 0.909
Br 0.410 0.377 0.591
Br 0.319 0.533 0.410
Br 0.377 0.967 0.786
Br 0.591 0.714 0.681
Br 0.591 0.877 0.410
Br 0.091 0.910 0.377
Br 0.409 0.286 0.319
Br 0.681 0.467 0.590
Br 0.181 0.090 0.967
Br 0.714 0.123 0.033
Br 0.377 0.410 0.091
Br 0.623 0.033 0.214
Br 0.623 0.590 0.909
Nd 0.625 0.250 0.375
Nd 0.750 0.375 0.125
Nd 0.625 0.375 0.750
Nd 0.875 0.750 0.125
Nd 0.125 0.875 0.750
Nd 0.250 0.625 0.875
Nd 0.125 0.250 0.875
Nd 0.375 0.750 0.625
Nd 0.375 0.625 0.250
Nd 0.750 0.875 0.625
Nd 0.250 0.125 0.375
Nd 0.875 0.125 0.250